A relaxed structure of La7Pr2Sm3, computed with PBE-GGA.

Values from the calculation:
Density of states at the Fermi level ... 1.629 states/eV/atom
Spin magnetization ... 0.0 μB per formula unit
Formation energy ... 0.0576 eV/atom

Cell: 6.6180 3.6295 18.0679 Å, 90.00 95.57 90.00°
Space group P2/m (No. 10)
One atom of each set of equivalent atoms:
1 La 0.0000 0.0000 0.0000 x1
2 La 0.2232 0.5000 0.1701 x2
3 La 0.2619 0.5000 0.4911 x2
4 La 0.2790 0.0000 0.8341 x2
5 Pr 0.0627 0.5000 0.6685 x2
6 Sm 0.4523 0.0000 0.3369 x2
7 Sm 0.5000 0.5000 0.0000 x1